Below is CsI3O after structural relaxation, with properties calculated at the PBE level.

Output
- energy above the lowest structure with this stoichiometry (eV per atom) = 0.0000
- magnetic moment (μB per cell) = 0.0
- formation energy without anion corrections (meV per atom) = -341
- final energy (eV per cell) = -24.33
- space group = I4/mmm, No. 139

abc: 7.448 7.448 8.322
angles: 63.42 63.42 90.00
Fractional coordinates of all 10 atoms:
Cs 0.750 0.250 0.500
Cs 0.250 0.750 0.500
I 0.189 0.189 0.621
I 0.811 0.811 0.379
I 0.270 0.270 0.000
I 0.730 0.730 0.000
I 0.730 0.270 0.000
I 0.270 0.730 0.000
O 0.500 0.500 0.000
O 0.000 0.000 0.000


Below is TbPr4Sm6 after structural relaxation, with properties calculated at the PBE level.

Output
- formation enthalpy at 0 K (kJ/mol of formula units) = 416
- energy above the lowest structure with this stoichiometry (eV per atom) = 0.1115
- magnetic moment (μB per cell) = 0.0
- final energy (eV per cell) = -47.75
- space group = I-42m, No. 121

abc: 7.688 7.688 8.700
angles: 116.22 116.22 90.00
Fractional coordinates of all 11 atoms:
Tb 0.500 0.500 0.000
Pr 0.095 0.746 0.841
Pr 0.905 0.905 0.159
Pr 0.746 0.095 0.841
Pr 0.254 0.254 0.159
Sm 0.914 0.458 0.372
Sm 0.458 0.914 0.372
Sm 0.542 0.542 0.628
Sm 0.000 0.500 0.000
Sm 0.086 0.086 0.628
Sm 0.500 0.000 0.000


Below is YMnP2Ru after structural relaxation, with properties calculated at the PBE level.

Output
- formation enthalpy at 0 K (kJ/mol of formula units) = -464
- magnetic moment (μB per cell) = 0.0
- final energy (eV per cell) = -40.53
- space group = I-4m2, No. 119

abc: 4.000 4.000 5.524
angles: 111.22 111.22 90.00
Fractional coordinates of all 5 atoms:
Y 0.000 0.000 0.000
Mn 0.750 0.250 0.500
P 0.631 0.631 0.262
P 0.369 0.369 0.738
Ru 0.250 0.750 0.500


Below is SnOsRuN after structural relaxation, with properties calculated at the PBE level.

Output
- energy above the lowest structure with this stoichiometry (eV per atom) = 0.2364
- magnetic moment (μB per cell) = 0.0
- formation energy without anion corrections (meV per atom) = 499
- final energy (eV per cell) = -61.67
- space group = Cm, No. 8

abc: 5.715 2.894 8.983
angles: 90.00 101.06 90.00
Fractional coordinates of all 8 atoms:
Sn 0.832 0.000 0.701
Sn 0.832 0.500 0.201
Os 0.394 0.000 0.156
Os 0.394 0.500 0.656
Ru 0.101 0.000 0.467
Ru 0.101 0.500 0.967
N 0.302 0.000 0.327
N 0.302 0.500 0.827


Below is LaPrTlI after structural relaxation, with properties calculated at the PBE level.

Output
- energy above the lowest structure with this stoichiometry (eV per atom) = 0.1103
- magnetic moment (μB per cell) = 0.0
- formation energy without anion corrections (meV per atom) = -556
- final energy (eV per cell) = -15.85
- space group = F-43m, No. 216

abc: 5.638 5.638 5.638
angles: 60.00 60.00 60.00
Fractional coordinates of all 4 atoms:
Pr 0.750 0.750 0.750
I 0.000 0.000 0.000
Tl 0.500 0.500 0.500
La 0.250 0.250 0.250


Below is TmMg3Cd3 after structural relaxation, with properties calculated at the PBE level.

Output
- formation enthalpy at 0 K (kJ/mol of formula units) = 345
- energy above the lowest structure with this stoichiometry (eV per atom) = 0.6123
- magnetic moment (μB per cell) = 0.0
- final energy (eV per cell) = -16.85
- space group = Pm-3n, No. 223

abc: 7.551 7.551 7.551
angles: 90.00 90.00 90.00
Fractional coordinates of all 14 atoms:
Mg 0.000 0.250 0.500
Mg 0.000 0.750 0.500
Mg 0.500 0.000 0.750
Mg 0.750 0.500 0.000
Mg 0.500 0.000 0.250
Mg 0.250 0.500 0.000
Tm 0.500 0.500 0.500
Tm 0.000 0.000 0.000
Cd 0.250 0.000 0.500
Cd 0.000 0.500 0.250
Cd 0.500 0.750 0.000
Cd 0.750 0.000 0.500
Cd 0.000 0.500 0.750
Cd 0.500 0.250 0.000